Compound: BaCo2Ni2
Source: Alexandria via LeMat-Bulk
Functional: PBE
Structure: relaxed

The structure in extended XYZ format:
```
10
Lattice="4.2125 0.0000 0.0000 0.0000 4.2125 0.0000 0.0000 0.0000 10.6531" Properties=species:S:1:pos:R:3 pbc="T T T"
Ba 0.0000 0.0000 0.0000
Ba 2.1062 2.1062 5.3266
Co 0.0000 2.1062 2.6633
Co 0.0000 2.1062 7.9898
Co 2.1062 0.0000 2.6633
Co 2.1062 0.0000 7.9898
Ni 0.0000 0.0000 3.6265
Ni 0.0000 0.0000 7.0266
Ni 2.1062 2.1062 1.7000
Ni 2.1062 2.1062 8.9531
```

Results
Theoretical density (Mg/m³): 6.5
Energy above the lowest structure with this stoichiometry (meV/atom): 0.0
Volume (Å³/atom): 18.904
Symmetry: No. 139
Energy of formation (meV per atom): 357


Compound: PmH7Rh2
Source: Alexandria via LeMat-Bulk
Functional: PBE
Structure: relaxed

The structure in extended XYZ format:
```
10
Lattice="2.6564 -4.4407 0.0000 2.6564 4.4407 0.0000 0.0000 0.0000 3.6182" Properties=species:S:1:pos:R:3 pbc="T T T"
Pm 0.0000 0.0000 0.0000
H 0.9732 1.2597 1.8091
H 2.6564 1.6584 0.0000
H 0.9732 -1.2597 1.8091
H 2.6564 0.0000 1.8091
H 4.3396 1.2597 1.8091
H 2.6564 -1.6584 0.0000
H 4.3396 -1.2597 1.8091
Rh 2.6564 1.6716 1.8091
Rh 2.6564 -1.6716 1.8091
```

Results
Theoretical density (Mg/m³): 7.0
Volume (Å³/atom): 8.536
E_tot (eV/cell): -46.0
Symmetry: No. 65


The evaluated size of the total moment for the records listed, in turn: 4.551 0.000 μB per formula unit.